DFT (PBE) results for crystalline Ca2CuOs at its relaxed geometry.

Output
Its volume is 314 Å³/cell. The calculation puts the formation energy from the elements at 50.6 kJ/mol of atoms. Its density of states at the Fermi level is 1.042 states/eV per atom.

a = 6.799 Å, b = 6.799 Å, c = 6.799 Å
α = 90.00°, β = 90.00°, γ = 90.00°
Space group F-43m (No. 216)
Symmetry-distinct sites (fractional):
Ca1 0.000 0.000 0.000 [4 per cell]
Ca2 0.250 0.250 0.250 [4 per cell]
Cu1 0.000 0.000 0.500 [4 per cell]
Os1 0.250 0.250 0.750 [4 per cell]